Entry from Alexandria: an optimized crystal structure of Mg2InH (PBE).

```
Mg2InH
1.0
4.6632 -0.0175 -0.0019
0.0173 4.5522 0.0208
0.0110 2.2233 6.7574
Mg In H
4 2 2
Cartesian
1.1606 2.2637 1.1694
3.5309 4.4942 5.6068
1.1621 2.2271 5.5975
3.5294 4.5308 1.1787
1.2059 4.5213 3.3937
3.4856 2.2366 3.3825
2.3409 1.1293 0.0043
2.3506 5.6286 6.7719
```

Calculated values
* size of the total moment: 0.000 μB/atom
* Fermi-level density of states: 2.41 states/eV per cell
* relative energy among the computed polymorphs: 0.018 eV/atom